[1]
YTl2In PBE optimized geometry; energy relative to the elements = -0.160 eV per atom; DFT total energy = -14.58 eV/cell; SG = P4mm
1.0
3.9542 0.0000 0.0000
0.0000 3.9542 0.0000
0.0000 0.0000 7.1353
Y Tl In
1 2 1
Direct
0.0000 0.0000 0.0000
0.0000 0.0000 0.4909
0.5000 0.5000 0.7477
0.5000 0.5000 0.2444



[2]
In2FeSi PBE optimized geometry; DFT total energy = -75.99 eV/cell; energy relative to the elements, uncorrected = 0.366 eV per formula unit; SG = I4_1/amd
1.0
9.7585 0.0000 0.0000
0.0000 9.7585 0.0000
0.0000 0.0000 4.3225
In Fe Si
8 4 4
Direct
0.0000 0.0000 0.0000
0.0000 0.5000 0.0000
0.2500 0.2500 0.7500
0.2500 0.7500 0.2500
0.5000 0.0000 0.5000
0.5000 0.5000 0.5000
0.7500 0.2500 0.7500
0.7500 0.7500 0.2500
0.0000 0.2500 0.8750
0.0000 0.7500 0.1250
0.5000 0.2500 0.6250
0.5000 0.7500 0.3750
0.0000 0.2500 0.3750
0.0000 0.7500 0.6250
0.5000 0.2500 0.1250
0.5000 0.7500 0.8750



> Among the records above, which one has the lowest DFT total energy?

In2FeSi



> Which of these has the lowest DFT total energy?

In2FeSi



> What is the DFT total energy in the first record?

-14.58 eV/cell



> Which formula does entry 1 have?

YTl2In